! CsTiZnF6 PBE optimized geometry; values from VASP
! **Magnetization**: 0.11 μB/atom
! **Calculated total energy**: -5.28 eV/atom
! **Symmetry**: Imma, No. 74
! **D(E_F)**: 3.692 states/eV/f.u.
! **E_form (uncorrected)**: -2923 meV/atom
&SYSTEM
  ibrav = 0, nat = 18, ntyp = 4
/
ATOMIC_SPECIES
Cs 132.91 Cs.upf
Ti 47.87 Ti.upf
Zn 65.41 Zn.upf
F 19.00 F.upf
CELL_PARAMETERS angstrom
7.429 0.000 0.000
0.000 7.656 0.000
-3.715 -3.828 5.348
ATOMIC_POSITIONS crystal
Cs 0.884 0.634 0.768
Cs 0.116 0.366 0.232
Ti 0.500 0.500 0.000
Ti 0.500 0.000 0.000
Zn 0.500 0.000 0.500
Zn 0.000 0.000 0.500
F 0.445 0.695 0.891
F 0.821 0.071 0.642
F 0.814 0.075 0.247
F 0.433 0.672 0.247
F 0.433 0.075 0.247
F 0.814 0.672 0.247
F 0.555 0.305 0.109
F 0.179 0.929 0.358
F 0.186 0.925 0.753
F 0.567 0.328 0.753
F 0.567 0.925 0.753
F 0.186 0.328 0.753

---

! Cs2Tl3F5 PBE optimized geometry; values from VASP
! **Magnetization**: 0.00 μB/atom
! **Calculated total energy**: -3.90 eV/atom
! **Symmetry**: C2/m, No. 12
! **D(E_F)**: 0.000 states/eV/f.u.
! **E_form (uncorrected)**: -2087 meV/atom
&SYSTEM
  ibrav = 0, nat = 10, ntyp = 3
/
ATOMIC_SPECIES
Cs 132.91 Cs.upf
Tl 204.38 Tl.upf
F 19.00 F.upf
CELL_PARAMETERS angstrom
4.014 0.000 0.891
1.636 7.031 2.115
0.147 -0.863 8.828
ATOMIC_POSITIONS crystal
Cs 0.324 0.082 0.271
Cs 0.676 0.918 0.729
Tl 0.500 0.500 0.500
Tl 0.111 0.650 0.128
Tl 0.889 0.350 0.872
F 0.000 0.000 0.000
F 0.092 0.224 0.592
F 0.908 0.776 0.408
F 0.697 0.406 0.200
F 0.303 0.594 0.800

---

! CsTl3F6 PBE optimized geometry; values from VASP
! **Magnetization**: 0.00 μB/atom
! **Calculated total energy**: -3.97 eV/atom
! **Symmetry**: P2_1/c, No. 14
! **D(E_F)**: 0.000 states/eV/f.u.
! **E_form (uncorrected)**: -2056 meV/atom
&SYSTEM
  ibrav = 0, nat = 20, ntyp = 3
/
ATOMIC_SPECIES
Cs 132.91 Cs.upf
Tl 204.38 Tl.upf
F 19.00 F.upf
CELL_PARAMETERS angstrom
6.504 0.000 -0.013
0.000 7.312 0.000
-0.104 0.000 9.597
ATOMIC_POSITIONS crystal
Cs 0.500 0.500 0.500
Cs 0.000 0.000 0.000
Tl 0.507 0.967 0.726
Tl 0.500 0.500 0.000
Tl 0.493 0.033 0.274
Tl 0.007 0.533 0.226
Tl 0.000 0.000 0.500
Tl 0.993 0.467 0.774
F 0.654 0.270 0.894
F 0.698 0.143 0.516
F 0.615 0.394 0.203
F 0.385 0.606 0.797
F 0.302 0.857 0.484
F 0.346 0.730 0.106
F 0.154 0.230 0.394
F 0.198 0.357 0.016
F 0.115 0.106 0.703
F 0.885 0.894 0.297
F 0.802 0.643 0.984
F 0.846 0.770 0.606

---

! Cs4TlF5 PBE optimized geometry; values from VASP
! **Magnetization**: 0.00 μB/atom
! **Calculated total energy**: -3.98 eV/atom
! **Symmetry**: I4, No. 79
! **D(E_F)**: 0.000 states/eV/f.u.
! **E_form (uncorrected)**: -2469 meV/atom
&SYSTEM
  ibrav = 0, nat = 10, ntyp = 3
/
ATOMIC_SPECIES
Cs 132.91 Cs.upf
Tl 204.38 Tl.upf
F 19.00 F.upf
CELL_PARAMETERS angstrom
6.126 0.000 0.000
3.063 6.700 0.000
3.063 0.000 6.700
ATOMIC_POSITIONS crystal
Cs 0.410 0.399 0.803
Cs 0.808 0.803 0.601
Cs 0.213 0.197 0.399
Cs 0.611 0.601 0.197
Tl 0.011 0.000 0.000
F 0.917 0.385 0.804
F 0.302 0.804 0.615
F 0.721 0.196 0.385
F 0.106 0.615 0.196
F 0.411 0.000 0.000

---

! CsTlF2 PBE optimized geometry; values from VASP
! **Magnetization**: 0.00 μB/atom
! **Calculated total energy**: -3.94 eV/atom
! **Symmetry**: C2/m, No. 12
! **D(E_F)**: 0.000 states/eV/f.u.
! **E above lowest polymorph**: 0.0 meV per atom
! **E_form (uncorrected)**: -2203 meV/atom
&SYSTEM
  ibrav = 0, nat = 8, ntyp = 3
/
ATOMIC_SPECIES
Cs 132.91 Cs.upf
Tl 204.38 Tl.upf
F 19.00 F.upf
CELL_PARAMETERS angstrom
5.212 0.000 -2.292
-0.876 5.915 -1.993
0.093 -0.820 7.282
ATOMIC_POSITIONS crystal
Cs 0.884 0.634 0.767
Cs 0.116 0.366 0.233
Tl 0.361 0.110 0.723
Tl 0.639 0.890 0.277
F 0.148 0.893 0.296
F 0.852 0.107 0.704
F 0.646 0.516 0.293
F 0.354 0.484 0.707

---

! Cs5Tl2F12 PBE optimized geometry; values from VASP
! **Magnetization**: 0.07 μB/atom
! **Calculated total energy**: -3.87 eV/atom
! **Symmetry**: C2/m, No. 12
! **E_form (uncorrected)**: -2212 meV/atom
&SYSTEM
  ibrav = 0, nat = 19, ntyp = 3
/
ATOMIC_SPECIES
Cs 132.91 Cs.upf
Tl 204.38 Tl.upf
F 19.00 F.upf
CELL_PARAMETERS angstrom
-1.807 4.991 4.935
-5.562 -4.132 4.556
3.053 -3.367 6.936
ATOMIC_POSITIONS crystal
Cs 0.031 0.248 0.248
Cs 0.504 0.360 0.360
Cs 0.500 0.000 0.000
Cs 0.496 0.640 0.640
Cs 0.969 0.752 0.752
Tl 0.000 0.773 0.227
Tl 0.000 0.227 0.773
F 0.859 0.072 0.072
F 0.211 0.151 0.577
F 0.211 0.577 0.151
F 0.788 0.132 0.686
F 0.788 0.686 0.132
F 0.885 0.472 0.472
F 0.115 0.528 0.528
F 0.212 0.868 0.314
F 0.212 0.314 0.868
F 0.789 0.849 0.423
F 0.789 0.423 0.849
F 0.141 0.928 0.928

---

! Cs2TlF4 PBE optimized geometry; values from VASP
! **Magnetization**: 0.13 μB/atom
! **Calculated total energy**: -3.88 eV/atom
! **Symmetry**: P2_1/m, No. 11
! **D(E_F)**: 2.419 states/eV/f.u.
! **E above lowest polymorph**: 106.4 meV per atom
! **E_form (uncorrected)**: -2224 meV/atom
&SYSTEM
  ibrav = 0, nat = 14, ntyp = 3
/
ATOMIC_SPECIES
Cs 132.91 Cs.upf
Tl 204.38 Tl.upf
F 19.00 F.upf
CELL_PARAMETERS angstrom
7.390 0.000 -0.077
0.000 6.901 0.000
-2.814 0.000 7.931
ATOMIC_POSITIONS crystal
Cs 0.672 0.750 0.042
Cs 0.328 0.250 0.958
Cs 0.234 0.250 0.444
Cs 0.766 0.750 0.556
Tl 0.215 0.750 0.192
Tl 0.785 0.250 0.808
F 0.452 0.518 0.248
F 0.020 0.750 0.914
F 0.980 0.250 0.086
F 0.452 0.982 0.248
F 0.975 0.250 0.643
F 0.548 0.018 0.752
F 0.548 0.482 0.752
F 0.025 0.750 0.357

---

! Cs3TlF6 PBE optimized geometry; values from VASP
! **Magnetization**: 0.00 μB/atom
! **Calculated total energy**: -4.02 eV/atom
! **Symmetry**: I4/mmm, No. 139
! **D(E_F)**: 0.000 states/eV/f.u.
! **E_form (uncorrected)**: -2403 meV/atom
&SYSTEM
  ibrav = 0, nat = 10, ntyp = 3
/
ATOMIC_SPECIES
Cs 132.91 Cs.upf
F 19.00 F.upf
Tl 204.38 Tl.upf
CELL_PARAMETERS angstrom
-1.537 6.910 -0.641
-4.977 -4.918 -1.680
-5.648 -0.864 4.227
ATOMIC_POSITIONS crystal
Cs 0.500 0.000 0.500
Cs 0.750 0.500 0.750
Cs 0.250 0.500 0.250
F 0.777 0.554 0.223
F 0.223 0.446 0.777
F 0.306 0.000 0.000
F 0.694 0.000 0.000
F 0.000 0.000 0.306
F 0.000 0.000 0.694
Tl 0.000 0.000 0.000